(1)
Entry from the Alexandria database: crystalline Sc3GaMo at its relaxed geometry (PBE-GGA).

```
Sc3GaMo
1.0
4.945 0.000 0.000
0.000 4.945 0.000
0.000 0.000 4.945
Sc Ga Mo
3 1 1
Direct
0.000 0.000 0.500
0.000 0.500 0.000
0.500 0.000 0.000
0.000 0.000 0.000
0.500 0.500 0.500
```

Space-group type: Pm-3m, No. 221
M_tot, Bohr magnetons per cell: 0.000
Energy above the lowest structure with this stoichiometry, meV/atom: 325
Energy of formation from the pure elements, eV per atom: 0.785

(2)
Entry from the Alexandria database: crystalline ScGaMo3 at its relaxed geometry (PBE-GGA).

```
ScGaMo3
1.0
4.648 0.000 0.000
0.000 4.648 0.000
0.000 0.000 4.648
Sc Ga Mo
1 1 3
Direct
0.000 0.000 0.000
0.500 0.500 0.500
0.000 0.500 0.500
0.500 0.000 0.500
0.500 0.500 0.000
```

Space-group type: Pm-3m, No. 221
M_tot, Bohr magnetons per cell: 0.000
Energy above the lowest structure with this stoichiometry, meV/atom: 0
Energy of formation from the pure elements, eV per atom: 1.152

(3)
Entry from the Alexandria database: crystalline ScGa2Mo2 at its relaxed geometry (PBE-GGA).

```
ScGa2Mo2
1.0
6.946 0.000 0.000
0.000 6.946 0.000
0.000 0.000 3.413
Sc Ga Mo
2 4 4
Direct
0.000 0.000 0.000
0.500 0.500 0.000
0.128 0.372 0.000
0.372 0.872 0.000
0.628 0.128 0.000
0.872 0.628 0.000
0.170 0.670 0.500
0.330 0.170 0.500
0.670 0.830 0.500
0.830 0.330 0.500
```

Space-group type: P4/mbm, No. 127
M_tot, Bohr magnetons per cell: 0.000
Energy above the lowest structure with this stoichiometry, meV/atom: 0
Energy of formation from the pure elements, eV per atom: -0.228